# AlCu2As

Crystalline AlCu2As at its relaxed geometry (PBE, OQMD).

- electronic total energy (eV per atom) = -3.861
- crystal system = cubic
- volume (Å³/atom) = 14.4

Cell lengths 6.1369, 6.1369, 6.1369 Å; angles 90.00, 90.00, 90.00 degrees
With the nearest neighbours (Å) after each atom.
Space group Pm-3m (No. 221)
Asymmetric unit:
Al (0.0000, 0.0000, 0.0000) (multiplicity 1)  8 Cu 2.52
Al (0.0000, 0.0000, 0.5000) (multiplicity 3)  8 Cu 2.61
Cu (0.2370, 0.2370, 0.2370) (multiplicity 8)  4 Al 2.52-2.61, 4 As 2.71-2.80
As (0.0000, 0.5000, 0.5000) (multiplicity 3)  8 Cu 2.71
As (0.5000, 0.5000, 0.5000) (multiplicity 1)  8 Cu 2.80, 6 As 3.07

=====

# AlCu2As

Crystalline AlCu2As at its relaxed geometry (PBE, OQMD).

- electronic total energy (eV per atom) = -3.860
- crystal system = cubic
- volume (Å³/atom) = 14.4

Cell lengths 6.1325, 6.1325, 6.1325 Å; angles 90.00, 90.00, 90.00 degrees
With the nearest neighbours (Å) after each atom.
Space group Pm-3m (No. 221)
Asymmetric unit:
Al (0.0000, 0.0000, 0.0000) (multiplicity 1)  8 Cu 2.52
Al (0.0000, 0.0000, 0.5000) (multiplicity 3)  8 Cu 2.61
Cu (0.2376, 0.2376, 0.2376) (multiplicity 8)  4 Al 2.52-2.61, 4 As 2.70-2.79
As (0.0000, 0.5000, 0.5000) (multiplicity 3)  8 Cu 2.70
As (0.5000, 0.5000, 0.5000) (multiplicity 1)  8 Cu 2.79, 6 As 3.07

=====

# AlCuAsIr

Crystalline AlCuAsIr at its relaxed geometry (PBE, OQMD).

- ΔE to the lowest computed polymorph (meV per atom) = 0.0
- crystal system = cubic
- volume (Å³/atom) = 14.5

Cell lengths 6.1443, 6.1443, 6.1443 Å; angles 90.00, 90.00, 90.00 degrees
With the nearest neighbours (Å) after each atom.
Space group F-43m (No. 216)
Asymmetric unit:
Al (0.0000, 0.0000, 0.0000) (multiplicity 4)  4 Cu 2.66, 4 Ir 2.66
Cu (0.2500, 0.2500, 0.7500) (multiplicity 4)  4 As 2.66, 4 Al 2.66
As (0.0000, 0.0000, 0.5000) (multiplicity 4)  4 Ir 2.66, 4 Cu 2.66
Ir (0.2500, 0.2500, 0.2500) (multiplicity 4)  4 Al 2.66, 4 As 2.66

=====

# AlCuAsIr

Crystalline AlCuAsIr at its relaxed geometry (PBE, OQMD).

- ΔE to the lowest computed polymorph (meV per atom) = 152.1
- crystal system = cubic
- volume (Å³/atom) = 14.9

Cell lengths 6.1943, 6.1943, 6.1943 Å; angles 90.00, 90.00, 90.00 degrees
With the nearest neighbours (Å) after each atom.
Space group F-43m (No. 216)
Asymmetric unit:
Al (0.0000, 0.0000, 0.0000) (multiplicity 4)  4 Ir 2.68, 4 As 2.68
Cu (0.0000, 0.0000, 0.5000) (multiplicity 4)  4 As 2.68, 4 Ir 2.68
As (0.2500, 0.2500, 0.2500) (multiplicity 4)  4 Al 2.68, 4 Cu 2.68
Ir (0.2500, 0.2500, 0.7500) (multiplicity 4)  4 Cu 2.68, 4 Al 2.68

=====

# DyAlAsO

Crystalline DyAlAsO at its relaxed geometry (PBE, OQMD).

- electronic total energy (eV per atom) = -6.111
- crystal system = orthorhombic
- volume (Å³/atom) = 16.2

Cell lengths 3.9488, 4.7966, 6.8324 Å; angles 90.00, 90.00, 90.00 degrees
With the nearest neighbours (Å) after each atom.
Space group Pmc2_1 (No. 26)
Asymmetric unit:
Dy (0.0000, 0.1896, 0.0000) (multiplicity 2)  2 O 2.44-2.45
Al (0.5000, 0.3431, 0.3420) (multiplicity 2)  2 O 1.98
As (0.5000, 0.1583, 0.6883) (multiplicity 2)  3 Al 2.53-2.62
O (0.0000, 0.3537, 0.3380) (multiplicity 2)  2 Al 1.98

=====

# DyAlAsO

Crystalline DyAlAsO at its relaxed geometry (PBE, OQMD).

- electronic total energy (eV per atom) = -6.112
- crystal system = orthorhombic
- volume (Å³/atom) = 19.2

Cell lengths 4.0225, 6.6673, 5.7186 Å; angles 90.00, 90.00, 90.00 degrees
With the nearest neighbours (Å) after each atom.
Space group Pmc2_1 (No. 26)
Asymmetric unit:
Dy (0.0000, 0.1836, 0.0000) (multiplicity 2)  2 O 2.31
Al (0.5000, 0.4121, 0.6458) (multiplicity 2)  2 O 1.86-1.89
As (0.0000, 0.2443, 0.4934) (multiplicity 2)  2 Al 2.46
O (0.5000, 0.3528, 0.9695) (multiplicity 2)  2 Al 1.86-1.89

=====

# ErAlAs

Crystalline ErAlAs at its relaxed geometry (PBE, OQMD).

- electronic total energy (eV per atom) = -4.438
- crystal system = cubic
- volume (Å³/atom) = 25.7

Cell lengths 6.7588, 6.7588, 6.7588 Å; angles 90.00, 90.00, 90.00 degrees
With the nearest neighbours (Å) after each atom.
Space group F-43m (No. 216)
Asymmetric unit:
Er (0.0000, 0.0000, 0.0000) (multiplicity 4)  4 Al 2.93, 4 As 2.93
Al (0.2500, 0.2500, 0.7500) (multiplicity 4)  4 Er 2.93
As (0.2500, 0.2500, 0.2500) (multiplicity 4)  4 Er 2.93

=====

# ErAlAs

Crystalline ErAlAs at its relaxed geometry (PBE, OQMD).

- electronic total energy (eV per atom) = -4.397
- crystal system = cubic
- volume (Å³/atom) = 24.5

Cell lengths 6.6511, 6.6511, 6.6511 Å; angles 90.00, 90.00, 90.00 degrees
With the nearest neighbours (Å) after each atom.
Space group F-43m (No. 216)
Asymmetric unit:
Er (0.0000, 0.0000, 0.0000) (multiplicity 4)  4 Al 2.88
Al (0.2500, 0.2500, 0.7500) (multiplicity 4)  4 As 2.88, 4 Er 2.88
As (0.0000, 0.0000, 0.5000) (multiplicity 4)  4 Al 2.88